(1)
DFT (PBE) results for a relaxed structure of Ce3Ga.

Values from the calculation:
The formation energy comes out at -247 meV/atom. The space group is I4/mmm (139). The value obtained for the energy above the lowest structure with this stoichiometry is 0.0 meV/atom.

a b c (Å): 4.581 4.581 5.681
angles (deg): 113.78 113.78 90.00
Each line ends with the local moment (μB).
Positions (direct):
Ga (0.000, 0.000, 0.000)  -0.01
Ce (0.750, 0.250, 0.500)  0.52
Ce (0.250, 0.750, 0.500)  0.52
Ce (0.500, 0.500, 0.000)  0.48

(2)
DFT (PBE) results for a relaxed structure of BeFeAsSe2.

Values from the calculation:
The space group is P4/mmm (123). The value obtained for the energy above the lowest structure with this stoichiometry is 138.7 meV/atom.

a b c (Å): 4.583 4.583 4.190
angles (deg): 90.00 90.00 90.00
Each line ends with the local moment (μB).
Positions (direct):
Be (0.000, 0.000, 0.000)  0.01
As (0.000, 0.000, 0.500)  0.02
Fe (0.500, 0.500, 0.500)  -0.08
Se (0.000, 0.500, 0.000)  0.02
Se (0.500, 0.000, 0.000)  0.02

(3)
DFT (PBE) results for a relaxed structure of ZrCu2Pt.

Values from the calculation:
The formation energy comes out at -291 meV/atom. The space group is Pmmm (47).

a b c (Å): 4.557 2.855 4.966
angles (deg): 90.04 90.00 90.00
Positions (direct):
Cu (0.000, 0.251, 0.997)
Cu (0.000, 0.249, 0.503)
Pt (0.500, 0.250, 0.250)
Zr (0.500, 0.750, 0.750)

(4)
DFT (PBE) results for a relaxed structure of ZrAs2Ru.

Values from the calculation:
The formation energy comes out at -159 meV/atom. The space group is R3m (160). The value obtained for the energy above the lowest structure with this stoichiometry is 445.4 meV/atom.

a b c (Å): 8.510 8.510 8.510
angles (deg): 21.67 21.67 21.67
Positions (direct):
Ru (0.508, 0.508, 0.508)
As (0.000, 0.000, 0.000)
As (0.241, 0.241, 0.241)
Zr (0.751, 0.751, 0.751)

(5)
DFT (PBE) results for a relaxed structure of YTa2Au.

Values from the calculation:
The formation energy comes out at 99 meV/atom. The space group is Pmmm (47). The value obtained for the energy above the lowest structure with this stoichiometry is 142.5 meV/atom.

a b c (Å): 3.364 4.687 5.166
angles (deg): 90.00 90.00 90.00
Positions (direct):
Au (0.000, 0.500, 0.500)
Ta (0.000, 0.000, 0.000)
Ta (0.500, 0.500, 0.000)
Y (0.500, 0.000, 0.500)

(6)
DFT (PBE) results for a relaxed structure of ZrSc2Hg.

Values from the calculation:
The formation energy comes out at -143 meV/atom. The space group is Pmmm (47).

a b c (Å): 3.303 4.200 6.514
angles (deg): 90.00 90.00 90.00
Each line ends with the local moment (μB).
Positions (direct):
Hg (0.500, 0.500, 0.750)  0.01
Sc (0.000, 0.000, 0.999)  0.18
Sc (0.000, 0.000, 0.501)  0.18
Zr (0.500, 0.500, 0.250)  0.26

(7)
DFT (PBE) results for a relaxed structure of Ti2CdS.

Values from the calculation:
The space group is R3m (160). The value obtained for the energy above the lowest structure with this stoichiometry is 21.1 meV/atom.

a b c (Å): 3.387 3.387 7.466
angles (deg): 76.89 76.89 60.00
Positions (direct):
Ti (0.060, 0.060, 0.820)
Ti (0.274, 0.274, 0.179)
Cd (0.499, 0.499, 0.503)
S (0.667, 0.667, 0.999)

(8)
DFT (PBE) results for a relaxed structure of Mg2AsRu.

Values from the calculation:
The formation energy comes out at -130 meV/atom. The space group is Pmmm (47).

a b c (Å): 3.516 3.395 6.488
angles (deg): 58.45 90.00 90.00
Positions (direct):
As (0.500, 0.750, 0.750)
Mg (0.000, 0.989, 0.012)
Mg (0.000, 0.511, 0.488)
Ru (0.500, 0.250, 0.250)

(9)
DFT (PBE) results for a relaxed structure of TaMn2ReB.

Values from the calculation:
The formation energy comes out at 2076 meV/atom. The space group is P4/mmm (123).

a b c (Å): 4.556 4.881 4.556
angles (deg): 90.00 90.00 90.00
Each line ends with the local moment (μB).
Positions (direct):
Re (0.000, 0.000, 0.000)  -0.39
B (0.500, 0.500, 0.500)  -0.04
Mn (0.000, 0.000, 0.500)  3.05
Mn (0.500, 0.000, 0.000)  3.20
Ta (0.000, 0.500, 0.000)  0.00

(10)
DFT (PBE) results for a relaxed structure of ZrPaGa4.

Values from the calculation:
The formation energy comes out at -301 meV/atom. The space group is F-43m (216).

a b c (Å): 5.426 5.426 5.426
angles (deg): 60.00 60.00 60.00
Each line ends with the local moment (μB).
Positions (direct):
Pa (0.250, 0.250, 0.250)  0.28
Ga (0.625, 0.625, 0.124)  0.00
Ga (0.625, 0.124, 0.625)  0.00
Ga (0.625, 0.625, 0.625)  0.00
Ga (0.124, 0.625, 0.625)  0.00
Zr (0.000, 0.000, 0.000)  0.07

(11)
DFT (PBE) results for a relaxed structure of WAu.

Values from the calculation:
The formation energy comes out at 1494 meV/atom. The space group is Fm-3m (225). The value obtained for the energy above the lowest structure with this stoichiometry is 1244.1 meV/atom.

a b c (Å): 3.792 3.792 3.792
angles (deg): 60.00 60.00 60.00
Positions (direct):
Au (0.000, 0.000, 0.000)
W (0.500, 0.500, 0.500)

(12)
DFT (PBE) results for a relaxed structure of BiPd2CCl.

Values from the calculation:
The space group is P4/mmm (123). Its calculated total energy is -3.2854 eV per atom.

a b c (Å): 5.203 5.373 5.203
angles (deg): 90.00 90.00 90.00
Each line ends with the local moment (μB).
Positions (direct):
C (0.500, 0.500, 0.500)  0.89
Bi (0.000, 0.000, 0.000)  -0.02
Pd (0.000, 0.000, 0.500)  -0.01
Pd (0.500, 0.000, 0.000)  -0.06
Cl (0.000, 0.500, 0.000)  0.06